This record from the Alexandria database describes an optimized crystal structure of Pu2Pd4Pb. The functional is GGA-PBE.

```
7
Lattice="-2.5472 2.5472 7.0828 2.5472 -2.5472 7.0828 2.5472 2.5472 -7.0828" Properties=species:S:1:pos:R:3 pbc="T T T"
Pu 0.0000 0.0000 1.7665
Pu 0.0000 0.0000 12.3991
Pd 2.5472 0.0000 0.0000
Pd 0.0000 0.0000 4.3574
Pd 0.0000 2.5472 0.0000
Pd 0.0000 0.0000 9.8082
Pb 0.0000 0.0000 7.0828
```

symmetry	No. 139
energy of formation	0.18	eV/atom
M_tot	1.55	μB/atom
energy	-7.41	eV/atom

***

This record from the Alexandria database describes an optimized crystal structure of PuScPdPb. The functional is GGA-PBE.

```
4
Lattice="0.0000 3.6129 3.6129 3.6129 0.0000 3.6129 3.6129 3.6129 0.0000" Properties=species:S:1:pos:R:3 pbc="T T T"
Pu 0.0000 0.0000 0.0000
Sc 3.6129 3.6129 3.6129
Pd 1.8064 1.8064 1.8064
Pb 5.4193 5.4193 5.4193
```

symmetry	No. 216
energy of formation	-0.31	eV/atom
M_tot	1.37	μB/atom
energy	-7.70	eV/atom

***

This record from the Alexandria database describes an optimized crystal structure of PuSnPdPb. The functional is GGA-PBE.

```
4
Lattice="0.0000 3.6149 3.6149 3.6149 0.0000 3.6149 3.6149 3.6149 0.0000" Properties=species:S:1:pos:R:3 pbc="T T T"
Pu 0.0000 0.0000 0.0000
Sn 1.8074 1.8074 1.8074
Pd 3.6149 3.6149 3.6149
Pb 5.4223 5.4223 5.4223
```

symmetry	No. 216
energy of formation	-0.21	eV/atom
M_tot	1.45	μB/atom
energy	-7.02	eV/atom

***

This record from the Alexandria database describes an optimized crystal structure of TmPuPdPb. The functional is GGA-PBE.

```
4
Lattice="0.0000 3.6831 3.6831 3.6831 0.0000 3.6831 3.6831 3.6831 0.0000" Properties=species:S:1:pos:R:3 pbc="T T T"
Tm 0.0000 0.0000 0.0000
Pu 3.6831 3.6831 3.6831
Pd 5.5246 5.5246 5.5246
Pb 1.8415 1.8415 1.8415
```

symmetry	No. 216
energy of formation	-0.36	eV/atom
M_tot	1.34	μB/atom
energy	-7.28	eV/atom

***

This record from the Alexandria database describes an optimized crystal structure of YPuPdPb. The functional is GGA-PBE.

```
4
Lattice="0.0000 3.7101 3.7101 3.7101 0.0000 3.7101 3.7101 3.7101 0.0000" Properties=species:S:1:pos:R:3 pbc="T T T"
Y 0.0000 0.0000 0.0000
Pu 3.7101 3.7101 3.7101
Pd 1.8551 1.8551 1.8551
Pb 5.5652 5.5652 5.5652
```

symmetry	No. 216
energy of formation	-0.37	eV/atom
M_tot	1.36	μB/atom
energy	-7.79	eV/atom

***

This record from the Alexandria database describes an optimized crystal structure of PuZnPdPb. The functional is GGA-PBE.

```
4
Lattice="0.0000 3.5007 3.5007 3.5007 0.0000 3.5007 3.5007 3.5007 0.0000" Properties=species:S:1:pos:R:3 pbc="T T T"
Pu 0.0000 0.0000 0.0000
Zn 1.7504 1.7504 1.7504
Pd 5.2511 5.2511 5.2511
Pb 3.5007 3.5007 3.5007
```

symmetry	No. 216
energy of formation	-0.23	eV/atom
M_tot	1.38	μB/atom
energy	-6.36	eV/atom

***

This record from the Alexandria database describes an optimized crystal structure of RbPd2Pb. The functional is GGA-PBE.

```
8
Lattice="4.6658 0.0000 0.0000 0.0000 7.5112 0.0000 0.0000 0.0000 6.7623" Properties=species:S:1:pos:R:3 pbc="T T T"
Rb 1.1664 1.8778 0.8582
Rb 3.4993 5.6334 5.9041
Pd 1.1664 0.4486 4.0178
Pd 1.1664 3.3070 4.0178
Pd 3.4993 4.2042 2.7445
Pd 3.4993 7.0626 2.7445
Pb 1.1664 5.6334 2.3993
Pb 3.4993 1.8778 4.3631
```

symmetry	No. 59
energy of formation	-0.21	eV/atom
M_tot	0.00	μB/atom
energy	-3.97	eV/atom

***

This record from the Alexandria database describes an optimized crystal structure of Rb2PdPb3. The functional is GGA-PBE.

```
12
Lattice="7.7351 -3.8714 0.0000 7.7351 3.8714 0.0000 -1.9065 0.0000 7.6678" Properties=species:S:1:pos:R:3 pbc="T T T"
Rb 2.4145 0.0756 0.7078
Rb 1.4613 -0.0756 4.5417
Rb 12.1025 0.0756 3.1260
Rb 11.1493 -0.0756 6.9599
Pd 6.3053 1.0547 5.7508
Pd 7.2585 -1.0547 1.9169
Pb 7.2585 1.9752 1.9169
Pb 5.1279 0.0250 3.4203
Pb 4.1746 -0.0250 7.2542
Pb 9.3892 0.0250 0.4136
Pb 8.4360 -0.0250 4.2474
Pb 6.3053 -1.9752 5.7508
```

symmetry	No. 15
energy of formation	-0.14	eV/atom
M_tot	0.00	μB/atom
energy	-3.18	eV/atom

***

This record from the Alexandria database describes an optimized crystal structure of RbPdPb2. The functional is GGA-PBE.

```
4
Lattice="2.3293 1.3448 7.2189 -2.3293 1.3448 7.2189 0.0000 -2.6896 7.2189" Properties=species:S:1:pos:R:3 pbc="T T T"
Rb 0.0000 0.0000 0.0000
Pd 0.0000 0.0000 3.7065
Pb 0.0000 0.0000 11.8489
Pb 0.0000 0.0000 17.0873
```

symmetry	No. 160
energy of formation	-0.23	eV/atom
M_tot	0.00	μB/atom
energy	-3.63	eV/atom

***

This record from the Alexandria database describes an optimized crystal structure of RbPd3Pb. The functional is GGA-PBE.

```
5
Lattice="5.2461 0.0000 0.0000 0.0000 5.2461 0.0000 0.0000 0.0000 5.2461" Properties=species:S:1:pos:R:3 pbc="T T T"
Rb 0.0000 0.0000 0.0000
Pd 0.0000 2.6231 2.6231
Pd 2.6231 0.0000 2.6231
Pd 2.6231 2.6231 0.0000
Pb 2.6231 2.6231 2.6231
```

symmetry	No. 221
energy of formation	0.32	eV/atom
excess energy over the best structure of this formula in the dataset	0	meV/atom
M_tot	0.00	μB/atom
energy	-3.73	eV/atom

***

This record from the Alexandria database describes an optimized crystal structure of RbPdPb2. The functional is GGA-PBE.

```
32
Lattice="17.5666 0.0000 0.0000 0.0000 8.1743 0.0000 0.0000 0.0000 6.8497" Properties=species:S:1:pos:R:3 pbc="T T T"
Rb 1.8183 2.0436 1.2844
Rb 2.2781 6.1307 0.1390
Rb 6.5052 2.0436 3.5639
Rb 6.9650 6.1307 4.7092
Rb 10.6016 2.0436 2.1405
Rb 11.0613 6.1307 3.2858
Rb 15.2885 2.0436 6.7107
Rb 15.7483 6.1307 5.5654
Pd 1.2889 6.1307 3.4073
Pd 3.2720 2.0436 4.9103
Pd 5.5113 6.1307 1.4855
Pd 7.4944 2.0436 6.8322
Pd 10.0722 6.1307 0.0175
Pd 12.0552 2.0436 5.3643
Pd 14.2946 6.1307 1.9394
Pd 16.2777 2.0436 3.4424
Pb 0.7987 0.4413 4.7725
Pb 0.7987 3.6459 4.7725
Pb 3.7450 4.5273 3.4881
Pb 3.7450 7.7342 3.4881
Pb 5.0383 0.4401 0.0632
Pb 5.0383 3.6470 0.0632
Pb 7.9846 4.5284 1.3476
Pb 7.9846 7.7330 1.3476
Pb 9.5820 0.4413 5.5021
Pb 9.5820 3.6459 5.5021
Pb 12.5283 4.5273 6.7865
Pb 12.5283 7.7342 6.7865
Pb 13.8216 0.4401 3.3617
Pb 13.8216 3.6470 3.3617
Pb 16.7679 4.5284 2.0773
Pb 16.7679 7.7330 2.0773
```

symmetry	No. 62
energy of formation	-0.20	eV/atom
M_tot	0.00	μB/atom
energy	-3.59	eV/atom

***

This record from the Alexandria database describes an optimized crystal structure of Rb4PdPb5. The functional is GGA-PBE.

```
10
Lattice="-5.5556 5.5556 3.4014 5.5556 -5.5556 3.4014 5.5556 5.5556 -3.4014" Properties=species:S:1:pos:R:3 pbc="T T T"
Rb 3.2975 0.0000 0.0000
Rb 7.8136 0.0000 0.0000
Rb 0.0000 3.2975 0.0000
Rb 0.0000 7.8136 0.0000
Pd 0.0000 0.0000 5.2720
Pb 0.0000 0.0000 1.3705
Pb 3.9136 3.9136 0.1685
Pb 1.6420 -1.6420 3.5699
Pb -1.6420 1.6420 3.5699
Pb 1.6420 1.6420 3.5699
```

symmetry	No. 107
energy of formation	-0.15	eV/atom
M_tot	0.00	μB/atom
energy	-2.91	eV/atom

***

This record from the Alexandria database describes an optimized crystal structure of RbPdPb2. The functional is GGA-PBE.

```
4
Lattice="3.5910 0.0000 0.0000 0.0000 3.5910 0.0000 0.0000 0.0000 8.9385" Properties=species:S:1:pos:R:3 pbc="T T T"
Rb 0.0000 0.0000 0.0000
Pd 0.0000 0.0000 4.4692
Pb 1.7955 1.7955 2.8647
Pb 1.7955 1.7955 6.0738
```

symmetry	No. 123
energy of formation	-0.19	eV/atom
M_tot	0.00	μB/atom
energy	-3.59	eV/atom

***

This record from the Alexandria database describes an optimized crystal structure of RbPd3Pb2. The functional is GGA-PBE.

```
12
Lattice="9.4037 -2.1129 0.0000 9.4037 2.1129 0.0000 -3.3235 0.0000 7.2024" Properties=species:S:1:pos:R:3 pbc="T T T"
Rb 1.5373 0.0000 0.7038
Rb 13.9465 0.0000 6.4987
Pd -0.3768 0.0000 4.2341
Pd 5.5435 0.0000 0.9706
Pd 4.3844 0.0000 3.6398
Pd 11.0994 0.0000 3.5627
Pd 9.9403 0.0000 6.2319
Pd 15.8607 0.0000 2.9683
Pb 2.1365 0.0000 5.3469
Pb 8.3771 0.0000 2.2237
Pb 7.1067 0.0000 4.9788
Pb 13.3474 0.0000 1.8556
```

symmetry	No. 12
energy of formation	-0.19	eV/atom
excess energy over the best structure of this formula in the dataset	31	meV/atom
M_tot	0.00	μB/atom
energy	-4.18	eV/atom

***

This record from the Alexandria database describes an optimized crystal structure of Rb2PdPb2. The functional is GGA-PBE.

```
5
Lattice="-2.2461 2.2461 8.4694 2.2461 -2.2461 8.4694 2.2461 2.2461 -8.4694" Properties=species:S:1:pos:R:3 pbc="T T T"
Rb 2.2461 0.0000 4.2347
Rb 0.0000 2.2461 4.2347
Pd 0.0000 0.0000 0.0000
Pb 0.0000 0.0000 7.0644
Pb 0.0000 0.0000 9.8744
```

symmetry	No. 139
energy of formation	0.50	eV/atom
excess energy over the best structure of this formula in the dataset	632	meV/atom
M_tot	0.00	μB/atom
energy	-2.41	eV/atom

***

This record from the Alexandria database describes an optimized crystal structure of Rb2Pd2Pb. The functional is GGA-PBE.

```
5
Lattice="-2.3044 2.3044 7.1867 2.3044 -2.3044 7.1867 2.3044 2.3044 -7.1867" Properties=species:S:1:pos:R:3 pbc="T T T"
Rb 2.3044 0.0000 3.5934
Rb 0.0000 2.3044 3.5934
Pd 0.0000 0.0000 1.2927
Pd 0.0000 0.0000 13.0807
Pb 0.0000 0.0000 7.1867
```

symmetry	No. 139
energy of formation	0.44	eV/atom
excess energy over the best structure of this formula in the dataset	455	meV/atom
M_tot	0.00	μB/atom
energy	-2.77	eV/atom

***

This record from the Alexandria database describes an optimized crystal structure of RbPdPb2. The functional is GGA-PBE.

```
4
Lattice="2.2856 1.3196 9.2310 -2.2856 1.3196 9.2310 0.0000 -2.6392 9.2310" Properties=species:S:1:pos:R:3 pbc="T T T"
Rb 0.0000 0.0000 0.0000
Pd 0.0000 0.0000 13.8464
Pb 0.0000 0.0000 3.5803
Pb 0.0000 0.0000 24.1125
```

symmetry	No. 166
energy of formation	-0.05	eV/atom
M_tot	0.00	μB/atom
energy	-3.45	eV/atom

***

This record from the Alexandria database describes an optimized crystal structure of RbPd3Pb2. The functional is GGA-PBE.

```
12
Lattice="8.6635 -2.0618 0.0000 8.6635 2.0618 0.0000 -3.6136 0.0000 8.8034" Properties=species:S:1:pos:R:3 pbc="T T T"
Rb 2.4313 0.0000 0.2641
Rb 11.2822 0.0000 8.5393
Pd -0.6602 0.0000 3.6083
Pd 3.4990 0.0000 4.7465
Pd 6.0468 0.0000 3.2136
Pd 7.6667 0.0000 5.5899
Pd 10.2145 0.0000 4.0570
Pd 14.3737 0.0000 5.1951
Pb 0.9235 0.0000 5.9135
Pb 5.2047 0.0000 6.9135
Pb 8.5088 0.0000 1.8899
Pb 12.7900 0.0000 2.8899
```

symmetry	No. 12
energy of formation	-0.22	eV/atom
excess energy over the best structure of this formula in the dataset	0	meV/atom
M_tot	0.00	μB/atom
energy	-4.21	eV/atom

***

This record from the Alexandria database describes an optimized crystal structure of RbPdPb2. The functional is GGA-PBE.

```
4
Lattice="0.0000 3.7965 3.7965 3.7965 0.0000 3.7965 3.7965 3.7965 0.0000" Properties=species:S:1:pos:R:3 pbc="T T T"
Rb 0.0000 0.0000 0.0000
Pd 3.7965 3.7965 3.7965
Pb 1.8983 1.8983 1.8983
Pb 5.6948 5.6948 5.6948
```

symmetry	No. 225
energy of formation	0.16	eV/atom
M_tot	0.00	μB/atom
energy	-3.24	eV/atom

***

This record from the Alexandria database describes an optimized crystal structure of RbPd3Pb3. The functional is GGA-PBE.

```
14
Lattice="3.5936 2.0748 9.1324 -3.5936 2.0748 9.1324 0.0000 -4.1496 9.1324" Properties=species:S:1:pos:R:3 pbc="T T T"
Rb 0.0000 0.0000 5.0098
Rb 0.0000 0.0000 22.3876
Pd -0.7022 -1.5006 8.3275
Pd -0.9485 1.3584 8.3275
Pd -1.6507 -0.1422 19.0699
Pd 1.6507 0.1422 8.3274
Pd 0.9485 -1.3584 19.0699
Pd 0.7022 1.5006 19.0699
Pb -0.5667 -1.9068 11.0483
Pb -1.9347 -0.4626 16.3491
Pb -1.3680 1.4442 11.0483
Pb 1.3680 -1.4442 16.3491
Pb 1.9347 0.4626 11.0483
Pb 0.5667 1.9068 16.3491
```

symmetry	No. 148
energy of formation	-0.18	eV/atom
excess energy over the best structure of this formula in the dataset	0	meV/atom
M_tot	0.00	μB/atom
energy	-4.13	eV/atom

***

This record from the Alexandria database describes an optimized crystal structure of Rb3Pd4Pb4. The functional is GGA-PBE.

```
11
Lattice="-4.3289 4.3289 4.3289 4.3289 -4.3289 4.3289 4.3289 4.3289 -4.3289" Properties=species:S:1:pos:R:3 pbc="T T T"
Rb 4.3289 0.0000 0.0000
Rb 0.0000 4.3289 0.0000
Rb 0.0000 0.0000 4.3289
Pd 3.2674 3.2674 -3.2674
Pd 3.2674 -3.2674 3.2674
Pd 1.0615 1.0615 1.0615
Pd -3.2674 3.2674 3.2674
Pb 1.6560 1.6560 -1.6560
Pb 1.6560 -1.6560 1.6560
Pb -1.6560 1.6560 1.6560
Pb 2.6729 2.6729 2.6729
```

symmetry	No. 217
energy of formation	-0.19	eV/atom
M_tot	0.00	μB/atom
energy	-3.69	eV/atom

***

This record from the Alexandria database describes an optimized crystal structure of RbPd2Pb8. The functional is GGA-PBE.

```
11
Lattice="6.7295 0.0000 0.0000 0.0000 6.7295 0.0000 0.0000 0.0000 9.4439" Properties=species:S:1:pos:R:3 pbc="T T T"
Rb 0.0000 0.0000 0.0000
Pd 0.0000 3.3648 4.7220
Pd 3.3648 0.0000 4.7220
Pb 1.6984 1.6984 3.0775
Pb 1.6984 1.6984 6.3664
Pb 1.6984 5.0311 3.0775
Pb 1.6984 5.0311 6.3664
Pb 5.0311 1.6984 3.0775
Pb 5.0311 1.6984 6.3664
Pb 5.0311 5.0311 3.0775
Pb 5.0311 5.0311 6.3664
```

symmetry	No. 123
energy of formation	-0.04	eV/atom
excess energy over the best structure of this formula in the dataset	37	meV/atom
M_tot	0.00	μB/atom
energy	-3.77	eV/atom

***

This record from the Alexandria database describes an optimized crystal structure of Rb3PdPb. The functional is GGA-PBE.

```
5
Lattice="6.4351 0.0000 0.0000 0.0000 6.4351 0.0000 0.0000 0.0000 6.4351" Properties=species:S:1:pos:R:3 pbc="T T T"
Rb 0.0000 0.0000 3.2176
Rb 0.0000 3.2176 0.0000
Rb 3.2176 0.0000 0.0000
Pd 0.0000 0.0000 0.0000
Pb 3.2176 3.2176 3.2176
```

symmetry	No. 221
energy of formation	0.25	eV/atom
excess energy over the best structure of this formula in the dataset	0	meV/atom
M_tot	0.59	μB/atom
energy	-2.11	eV/atom

***

This record from the Alexandria database describes an optimized crystal structure of Rb3Pd3Pb8. The functional is GGA-PBE.

```
14
Lattice="-2.3741 6.7663 6.8124 2.3741 -6.7663 6.8124 2.3741 6.7663 -6.8124" Properties=species:S:1:pos:R:3 pbc="T T T"
Rb 0.0000 0.0000 0.0000
Rb 0.0000 0.0000 3.7359
Rb 0.0000 0.0000 9.8890
Pd 2.3741 4.7725 0.0000
Pd 0.0000 6.7663 0.0000
Pd 0.0000 1.9938 6.8124
Pb 2.3741 2.3490 -1.6343
Pb 2.3741 -2.3105 5.0696
Pb 2.3741 2.3490 1.6343
Pb 0.0000 4.4558 1.7428
Pb 2.3741 2.3105 5.0696
Pb 0.0000 4.4173 5.1781
Pb 0.0000 9.0767 1.7428
Pb 0.0000 4.4173 8.4468
```

symmetry	No. 71
energy of formation	-0.09	eV/atom
M_tot	0.00	μB/atom
energy	-3.53	eV/atom